Tm2Sc3Tl2 | GGA-PBE | relaxed

a b c (Å): 5.159 5.156 8.272
angles (deg): 108.19 90.00 120.02
Element x y z (fractional)
Tm: 0.073 0.146 0.719
Tm: 0.927 0.854 0.281
Tl: 0.782 0.565 0.847
Tl: 0.218 0.435 0.153
Sc: 0.347 0.694 0.541
Sc: 0.500 0.000 0.000
Sc: 0.653 0.306 0.459

=====

Tm3Sc2Tl6 | GGA-PBE | relaxed

a b c (Å): 5.470 5.470 11.804
angles (deg): 103.40 103.40 90.00
Last column: magnetic moment on the atom in μB.
Element x y z (fractional)
Tl: 0.597 0.097 0.195  0.01
Tl: 0.299 0.299 0.598  0.02
Tl: 0.903 0.403 0.805  0.01
Tl: 0.701 0.701 0.402  0.02
Tl: 0.097 0.597 0.195  0.01
Tl: 0.403 0.903 0.805  0.01
Tm: 0.000 0.000 0.000  0.13
Tm: 0.161 0.161 0.323  0.01
Tm: 0.839 0.839 0.677  0.01
Sc: 0.566 0.566 0.133  0.45
Sc: 0.434 0.434 0.867  0.45

=====

Tm5Sc2Tl | GGA-PBE | relaxed

a b c (Å): 4.911 6.072 16.661
angles (deg): 90.00 90.00 113.85
Element x y z (fractional)
Tl: 0.199 0.398 0.250
Tl: 0.801 0.602 0.750
Tm: 0.353 0.706 0.036
Tm: 0.945 0.891 0.905
Tm: 0.945 0.891 0.595
Tm: 0.055 0.109 0.405
Tm: 0.520 0.041 0.750
Tm: 0.055 0.109 0.095
Tm: 0.353 0.706 0.464
Tm: 0.480 0.959 0.250
Tm: 0.647 0.294 0.964
Tm: 0.647 0.294 0.536
Sc: 0.760 0.521 0.153
Sc: 0.760 0.521 0.347
Sc: 0.240 0.479 0.653
Sc: 0.240 0.479 0.847

=====

Tm5ScTl2 | GGA-PBE | relaxed

a b c (Å): 3.470 8.336 8.336
angles (deg): 76.49 77.99 77.99
Element x y z (fractional)
Tl: 0.257 0.243 0.243
Tl: 0.743 0.757 0.757
Tm: 0.370 0.866 0.394
Tm: 0.000 0.500 0.500
Tm: 0.630 0.134 0.606
Tm: 0.630 0.606 0.134
Tm: 0.370 0.394 0.866
Sc: 0.000 0.000 0.000

=====

Tm4ScTl2 | GGA-PBE | relaxed

a b c (Å): 5.373 5.373 9.084
angles (deg): 72.80 72.80 60.00
Last column: magnetic moment on the atom in μB.
Element x y z (fractional)
Tm: 0.266 0.266 0.201  0.14
Tm: 0.869 0.869 0.394  0.27
Tm: 0.131 0.131 0.606  0.27
Tm: 0.734 0.734 0.799  0.14
Tl: 0.386 0.386 0.841  0.03
Tl: 0.614 0.614 0.159  0.03
Sc: 0.500 0.500 0.500  0.28

Properties
Energy relative to the lowest polymorph listed for this composition in meV/atom: 179

=====

Tm6ScTl | GGA-PBE | relaxed

a b c (Å): 4.844 6.847 6.847
angles (deg): 89.97 90.00 90.00
Element x y z (fractional)
Tm: 0.000 0.744 0.256
Tm: 0.000 0.255 0.255
Tm: 0.500 0.500 0.000
Tm: 0.000 0.745 0.745
Tm: 0.000 0.256 0.744
Tm: 0.500 0.000 0.500
Sc: 0.500 0.500 0.500
Tl: 0.500 0.000 0.000

Properties
Energy relative to the lowest polymorph listed for this composition in meV/atom: 0

=====

Tm6Sc2Tl | GGA-PBE | relaxed

a b c (Å): 3.378 8.316 9.654
angles (deg): 77.78 79.92 78.28
Element x y z (fractional)
Tm: 0.615 0.321 0.449
Tm: 0.227 0.659 0.887
Tm: 0.385 0.679 0.551
Tm: 0.773 0.341 0.113
Tm: 0.048 0.659 0.246
Tm: 0.952 0.341 0.754
Tl: 0.000 0.000 0.000
Sc: 0.330 0.018 0.322
Sc: 0.670 0.982 0.678

=====

TmSc2Tl3 | GGA-PBE | relaxed

a b c (Å): 3.623 3.623 11.184
angles (deg): 90.00 90.00 90.00
Element x y z (fractional)
Tl: 0.000 0.000 0.000
Tl: 0.000 0.000 0.323
Tl: 0.000 0.000 0.677
Sc: 0.500 0.500 0.839
Sc: 0.500 0.500 0.161
Tm: 0.500 0.500 0.500

=====

N(E_F) / states/eV per cell: 7.131 8.569 21.711 10.144 11.180 13.379 13.601 5.004
DFT formation energy / eV per atom: -0.189 0.092 -0.017 -0.057 0.062 -0.045 0.030 -0.266